No. 1
! SrCo2Se | the Alexandria database | GGA-PBEsol | relaxed; values from VASP
! - Formation energy without anion corrections: -28.0 kJ/mol of atoms
! - Space group: R3m, No. 160
! - Total moment: 5.50 Bohr magnetons per cell
! - Electronic total energy: -22.3 eV/f.u.
&SYSTEM
  ibrav = 0, nat = 12, ntyp = 3
/
ATOMIC_SPECIES
Sr 87.62 Sr.upf
Co 58.93 Co.upf
Se 78.96 Se.upf
CELL_PARAMETERS angstrom
3.9881 0.0000 0.0000
-1.9940 3.4538 0.0000
0.0000 0.0000 15.9026
ATOMIC_POSITIONS crystal
Sr 0.0000 0.0000 0.0000
Sr 0.3333 0.6667 0.6667
Sr 0.6667 0.3333 0.3333
Co 0.0000 0.0000 0.1969
Co 0.0000 0.0000 0.5201
Co 0.3333 0.6667 0.1868
Co 0.3333 0.6667 0.8635
Co 0.6667 0.3333 0.5302
Co 0.6667 0.3333 0.8534
Se 0.0000 0.0000 0.8019
Se 0.3333 0.6667 0.4685
Se 0.6667 0.3333 0.1352



No. 2
! SrCo2Se | the Alexandria database | GGA-PBEsol | relaxed; values from VASP
! - Formation energy without anion corrections: 35.9 kJ/mol of atoms
! - Space group: Pmmm, No. 47
! - Total moment: 3.58 Bohr magnetons per cell
! - Electronic total energy: -19.7 eV/f.u.
&SYSTEM
  ibrav = 0, nat = 4, ntyp = 3
/
ATOMIC_SPECIES
Sr 87.62 Sr.upf
Co 58.93 Co.upf
Se 78.96 Se.upf
CELL_PARAMETERS angstrom
4.0004 0.0000 0.0000
0.0000 4.0194 0.0000
0.0000 0.0000 4.5765
ATOMIC_POSITIONS crystal
Sr 0.0000 0.0000 0.0000
Co 0.0000 0.5000 0.5000
Co 0.5000 0.0000 0.5000
Se 0.5000 0.5000 0.0000



No. 3
! TaCoSe | the Alexandria database | GGA-PBEsol | relaxed; values from VASP
! - Formation energy without anion corrections: 12.1 kJ/mol of atoms
! - Space group: F-43m, No. 216
! - Total moment: 0.00 Bohr magnetons per cell
! - Electronic total energy: -23.8 eV/f.u.
&SYSTEM
  ibrav = 0, nat = 12, ntyp = 3
/
ATOMIC_SPECIES
Ta 180.95 Ta.upf
Co 58.93 Co.upf
Se 78.96 Se.upf
CELL_PARAMETERS angstrom
5.7411 0.0000 0.0000
0.0000 5.7411 0.0000
0.0000 0.0000 5.7411
ATOMIC_POSITIONS crystal
Ta 0.0000 0.0000 0.0000
Ta 0.0000 0.5000 0.5000
Ta 0.5000 0.0000 0.5000
Ta 0.5000 0.5000 0.0000
Co 0.2500 0.2500 0.2500
Co 0.2500 0.7500 0.7500
Co 0.7500 0.2500 0.7500
Co 0.7500 0.7500 0.2500
Se 0.0000 0.0000 0.5000
Se 0.0000 0.5000 0.0000
Se 0.5000 0.0000 0.0000
Se 0.5000 0.5000 0.5000



No. 4
! TaCoSe3 | the Alexandria database | GGA-PBEsol | relaxed; values from VASP
! - Formation energy without anion corrections: 53.7 kJ/mol of atoms
! - Space group: Pm-3m, No. 221
! - Total moment: 0.64 Bohr magnetons per cell
! - Electronic total energy: -29.1 eV/f.u.
&SYSTEM
  ibrav = 0, nat = 5, ntyp = 3
/
ATOMIC_SPECIES
Ta 180.95 Ta.upf
Co 58.93 Co.upf
Se 78.96 Se.upf
CELL_PARAMETERS angstrom
4.5034 0.0000 0.0000
0.0000 4.5034 0.0000
0.0000 0.0000 4.5034
ATOMIC_POSITIONS crystal
Ta 0.0000 0.0000 0.0000
Co 0.5000 0.5000 0.5000
Se 0.0000 0.5000 0.5000
Se 0.5000 0.0000 0.5000
Se 0.5000 0.5000 0.0000



Question: Which formula does entry 3 have?
Answer: TaCoSe



Question: Which of these has the highest total moment?
Answer: number 1